No. 1
SnH2W2 PBE optimized geometry; distance to the lowest polymorph of the same formula = 0.000 eV per atom; SG = I4/mmm, No. 139; DFT total energy = -6.9380 eV/atom
1.0
-1.567 2.411 1.488
-2.471 -1.994 0.630
0.344 -1.210 5.843
H Sn W
2 1 2
Cartesian
-1.621 0.705 4.195 H
-2.073 -1.498 3.766 H
0.000 0.000 0.000 Sn
-1.264 -0.245 2.587 W
-2.430 -0.548 5.374 W


No. 2
AlPb3N PBE optimized geometry; distance to the lowest polymorph of the same formula = 0.803 eV per atom; SG = Pm-3m, No. 221; DFT total energy = -3.2039 eV/atom
1.0
-2.096 3.322 -3.594
-3.862 1.278 3.434
3.005 3.959 1.907
Pb Al N
3 1 1
Cartesian
-1.931 0.639 1.717 Pb
1.503 1.980 0.953 Pb
-1.048 1.661 -1.797 Pb
0.000 0.000 0.000 Al
-1.477 4.280 0.874 N


No. 3
Th3Ga5Ni6 PBE optimized geometry; formation energy = -0.575 eV per atom; SG = Immm, No. 71; DFT total energy = -5.7241 eV/atom
1.0
-2.150 4.457 6.183
2.150 -4.457 6.183
2.150 4.457 -6.183
Th Ga Ni
3 5 6
Cartesian
0.000 0.000 0.000 Th
0.000 0.000 3.902 Th
0.000 0.000 8.464 Th
0.000 3.083 4.054 Ga
2.150 1.374 2.129 Ga
0.000 5.832 4.054 Ga
2.150 -1.374 2.129 Ga
0.000 4.457 0.000 Ga
0.000 1.816 6.183 Ni
2.150 2.641 0.000 Ni
0.000 2.437 1.430 Ni
2.150 2.020 4.753 Ni
0.000 6.477 1.430 Ni
2.150 -2.020 4.753 Ni


No. 4
YRe2Pt PBE optimized geometry; formation energy = 0.341 eV per atom; distance to the lowest polymorph of the same formula = 0.474 eV per atom; SG = P4/mmm, No. 123; DFT total energy = -9.0093 eV/atom
1.0
-1.601 0.328 2.973
-1.209 -3.155 -0.304
5.256 -2.312 3.085
Pt Re Y
1 2 1
Cartesian
2.537 -3.148 3.648 Pt
4.942 -2.174 2.900 Re
2.943 -1.294 1.727 Re
-0.091 -1.992 2.106 Y


No. 5
Ti8Tl2Sn PBE optimized geometry; formation energy = 0.085 eV per atom; SG = C2/m, No. 12; DFT total energy = -6.4510 eV/atom
1.0
0.795 -4.171 2.354
6.123 -3.895 -1.224
6.213 1.449 4.343
Ti Tl Sn
8 2 1
Cartesian
2.581 -3.515 2.707 Ti
7.478 -3.484 4.981 Ti
2.827 -2.840 0.149 Ti
7.821 -4.580 1.997 Ti
5.311 -2.038 3.475 Ti
4.092 -5.227 0.980 Ti
5.654 -3.134 0.491 Ti
10.551 -3.102 2.765 Ti
4.286 -0.628 1.313 Tl
8.050 -1.818 1.805 Tl
0.398 -2.086 1.177 Sn


No. 6
Er2Al8Rh PBE optimized geometry; formation energy = -0.543 eV per atom; SG = P4/mmm, No. 123; DFT total energy = -4.7626 eV/atom
1.0
-1.813 -0.038 3.856
3.857 0.017 1.813
-0.082 11.127 0.071
Er Al Rh
2 8 1
Cartesian
-0.026 3.455 0.022 Er
-0.057 7.672 0.049 Er
1.887 5.572 0.942 Al
-0.947 5.544 1.964 Al
0.997 3.401 2.856 Al
0.965 7.704 2.884 Al
1.918 1.363 0.915 Al
-0.916 1.335 1.937 Al
1.856 9.781 0.969 Al
-0.979 9.753 1.991 Al
0.000 0.000 0.000 Rh


No. 7
Ba3Bi4Au2 PBE optimized geometry; formation energy = -0.646 eV per atom; distance to the lowest polymorph of the same formula = 0.024 eV per atom; SG = C2/m, No. 12; DFT total energy = -3.7405 eV/atom
1.0
5.174 0.000 0.000
-2.587 6.423 -0.159
0.000 -2.826 9.572
Ba Bi Au
3 4 2
Cartesian
2.587 -0.272 6.460 Ba
0.000 0.000 0.000 Ba
0.000 3.869 2.954 Ba
2.587 2.518 0.516 Bi
0.000 1.079 8.897 Bi
2.587 3.402 5.598 Bi
0.000 0.195 3.815 Bi
2.587 1.423 3.215 Au
0.000 2.175 6.198 Au


No. 8
YTlTe PBE optimized geometry; distance to the lowest polymorph of the same formula = 0.000 eV per atom; SG = P-1, No. 2; DFT total energy = -4.7022 eV/atom
1.0
4.197 0.000 0.001
-0.001 6.086 -0.882
-2.092 -2.014 7.601
Y Tl Te
2 2 2
Cartesian
0.003 3.393 2.000 Y
2.101 0.680 4.720 Y
0.007 -0.444 7.369 Tl
2.096 4.516 -0.649 Tl
2.102 3.712 4.210 Te
0.001 0.360 2.510 Te


No. 9
Li2ScTa PBE optimized geometry; formation energy = 0.578 eV per atom; distance to the lowest polymorph of the same formula = 0.399 eV per atom; SG = P4/mmm, No. 123; DFT total energy = -4.9246 eV/atom
1.0
4.672 0.000 0.000
0.000 3.981 0.000
0.000 0.000 3.981
Li Sc Ta
2 1 1
Cartesian
0.000 0.000 0.000 Li
0.000 1.991 1.991 Li
2.336 1.991 0.000 Sc
2.336 0.000 1.991 Ta


No. 10
Rb2TiCr2Te6 PBE optimized geometry; SG = C2/m, No. 12; DFT total energy = -4.9434 eV/atom
1.0
-3.317 -0.232 6.102
4.835 -4.759 -1.506
5.646 6.740 2.040
Rb Ti Cr Te
2 1 2 6
Cartesian
-1.973 -0.979 4.847 Rb
3.490 -4.013 -0.251 Rb
2.823 3.370 1.020 Ti
4.950 0.115 2.042 Cr
2.214 1.634 4.594 Cr
4.903 0.978 4.673 Te
5.530 2.659 1.148 Te
2.260 0.770 1.963 Te
2.793 4.179 3.702 Te
1.634 -0.911 5.488 Te
4.370 -2.430 2.934 Te


No. 11
Mg3Ga12Hg PBE optimized geometry; formation energy = -0.047 eV per atom; SG = P4/mmm, No. 123; DFT total energy = -2.6350 eV/atom
1.0
4.300 0.000 0.000
0.000 4.300 0.000
0.000 0.000 16.537
Mg Ga Hg
3 12 1
Cartesian
0.000 0.000 4.239 Mg
0.000 0.000 8.269 Mg
0.000 0.000 12.298 Mg
2.150 2.150 0.000 Ga
2.150 2.150 4.262 Ga
2.150 2.150 8.269 Ga
2.150 2.150 12.276 Ga
2.150 0.000 2.220 Ga
2.150 0.000 6.240 Ga
2.150 0.000 10.297 Ga
2.150 0.000 14.317 Ga
0.000 2.150 2.220 Ga
0.000 2.150 6.240 Ga
0.000 2.150 10.297 Ga
0.000 2.150 14.317 Ga
0.000 0.000 0.000 Hg


No. 12
BH2Cl8 PBE optimized geometry; SG = C2, No. 5; DFT total energy = -3.0274 eV/atom
1.0
8.338 0.000 -2.907
-0.313 6.117 -0.898
-2.119 0.545 7.334
B H Cl
1 2 8
Cartesian
4.157 0.000 -1.449 B
1.100 4.226 2.757 H
5.054 2.436 0.686 H
3.241 5.472 -0.713 Cl
2.522 5.301 4.017 Cl
0.426 3.495 1.896 Cl
6.119 1.196 3.655 Cl
5.061 3.167 1.780 Cl
5.384 1.361 -1.185 Cl
0.550 1.190 4.980 Cl
0.089 5.466 -0.230 Cl


Question: Look up the DFT total energy of the third one.
Answer: -5.7241 eV/atom